Entry from Alexandria via LeMat-Bulk: crystalline LiNiAsSe2 at its relaxed geometry (PBE).

Output
formation energy (no corrections): -0.006 eV/atom
D(E_F): 0.675 states/eV per atom
distance to the lowest polymorph of the same formula: 0.000 eV/f.u.

a = 4.9958 Å, b = 4.9958 Å, c = 4.3519 Å
α = 90.00°, β = 90.00°, γ = 90.00°
Closest atoms and distances in Å follow each position.
Fractional coordinates of all 5 atoms:
Li (0.0000, 0.0000, 0.0000)  8 Se 3.31, 4 As 3.53
Ni (0.5000, 0.5000, 0.5000)  2 As 2.18
As (0.5000, 0.5000, 0.0000)  2 Ni 2.18
Se (0.0000, 0.5000, 0.5000)  2 Ni 2.50
Se (0.5000, 0.0000, 0.5000)  2 Ni 2.50